[1]
The following is a DFT calculation (PBE) of SrThF6 after structural relaxation.

Unit cell a=3.991 b=7.305 c=8.273 alpha=90.00 beta=90.00 gamma=90.00
Space group Amm2 (No. 38)
Asymmetric unit:
Sr 0.000 0.000 0.000
Th 0.500 0.000 0.461
F 0.000 0.000 0.320
F 0.000 0.169 0.588
F 0.500 0.000 0.176
F 0.500 0.198 0.887

Output
energy relative to the elements, uncorrected	-3979	meV/atom
DOS at the Fermi energy	0.0	states/eV per cell
E_tot	-104.32	eV/cell

***

[2]
The following is a DFT calculation (PBE) of SrThF6 after structural relaxation.

Unit cell a=4.1859 b=4.1859 c=7.5187 alpha=90.00 beta=90.00 gamma=120.00
Space group P-6m2 (No. 187)
Asymmetric unit:
Sr 0.0000 0.0000 0.0000
Th 0.6667 0.3333 0.5000
F 0.0000 0.0000 0.3457
F 0.3333 0.6667 0.0000
F 0.3333 0.6667 0.5000
F 0.6667 0.3333 0.2062

Output
energy relative to the elements, uncorrected	-4005	meV/atom
DOS at the Fermi energy	0.0	states/eV per cell
E_tot	-52.37	eV/cell